(1)
The following is a DFT calculation (PBE) of crystalline Hf2ZrF2 at its relaxed geometry.

Structure (CIF):
```
data_Hf2ZrF2
_chemical_formula_sum 'Hf2 Zr1 F2'
_symmetry_space_group_name_H-M 'P 1'
_symmetry_Int_Tables_number 1
_cell_length_a 4.1124
_cell_length_b 4.1124
_cell_length_c 5.9746
_cell_angle_alpha 69.87
_cell_angle_beta 69.87
_cell_angle_gamma 90.00
loop_
_symmetry_equiv_pos_as_xyz
'x,y,z'
loop_
_atom_site_label
_atom_site_fract_x
_atom_site_fract_y
_atom_site_fract_z
Hf1 0.7500 0.2500 0.5000
Hf2 0.2500 0.7500 0.5000
Zr1 0.0000 0.0000 0.0000
F1 0.6217 0.6217 0.7567
F2 0.3783 0.3783 0.2433
```

Summary:
Mass density = 9.147 g cm⁻³
E_tot = -35.8 eV for the cell shown
Raw formation energy = -0.723 eV per atom
Total magnetic moment = 0.00 μB/cell
Symmetry = I4/mmm (139)
Crystal system = tetragonal

(2)
The following is a DFT calculation (PBE) of crystalline Ba2CeBiO6 at its relaxed geometry.

Structure (CIF):
```
data_Ba2CeBiO6
_chemical_formula_sum 'Ba4 Ce2 Bi2 O12'
_symmetry_space_group_name_H-M 'P 1'
_symmetry_Int_Tables_number 1
_cell_length_a 6.2775
_cell_length_b 6.2730
_cell_length_c 10.8498
_cell_angle_alpha 54.64
_cell_angle_beta 90.00
_cell_angle_gamma 90.00
loop_
_symmetry_equiv_pos_as_xyz
'x,y,z'
loop_
_atom_site_label
_atom_site_fract_x
_atom_site_fract_y
_atom_site_fract_z
O1 0.2220 0.2630 0.9619
O2 0.2780 0.2630 0.4619
O3 0.5152 0.1798 0.7486
O4 0.7254 0.3163 0.9609
O5 0.7746 0.3163 0.4609
O6 0.4848 0.8202 0.2514
O7 0.7780 0.7370 0.0381
O8 0.0152 0.8202 0.7514
O9 0.2746 0.6837 0.0391
O10 0.9848 0.1798 0.2486
O11 0.2254 0.6837 0.5391
O12 0.7220 0.7370 0.5381
Ce1 0.5000 0.5000 0.5000
Ce2 0.0000 0.5000 0.0000
Ba1 0.4774 0.7436 0.7496
Ba2 0.5226 0.2564 0.2504
Ba3 0.9774 0.2564 0.7504
Ba4 0.0226 0.7436 0.2496
Bi1 0.0000 0.0000 0.5000
Bi2 0.5000 0.0000 0.0000
```

Summary:
Mass density = 6.860 g cm⁻³
E_tot = -136.3 eV for the cell shown
Raw formation energy = -2.476 eV per atom
Total magnetic moment = 0.00 μB/cell
Symmetry = P2_1/c (14)
Crystal system = monoclinic

(3)
The following is a DFT calculation (PBE) of crystalline Ga2AgPt at its relaxed geometry.

Structure (CIF):
```
data_Ga2AgPt
_chemical_formula_sum 'Ga2 Ag1 Pt1'
_symmetry_space_group_name_H-M 'P 1'
_symmetry_Int_Tables_number 1
_cell_length_a 4.1872
_cell_length_b 2.8146
_cell_length_c 6.2439
_cell_angle_alpha 90.00
_cell_angle_beta 99.58
_cell_angle_gamma 90.00
loop_
_symmetry_equiv_pos_as_xyz
'x,y,z'
loop_
_atom_site_label
_atom_site_fract_x
_atom_site_fract_y
_atom_site_fract_z
Ga1 0.4060 0.5000 0.0290
Ga2 0.7847 0.5000 0.5716
Pt1 0.8782 0.0000 0.9345
Ag1 0.2384 0.0000 0.3938
```

Summary:
Mass density = 10.124 g cm⁻³
E_tot = -16.0 eV for the cell shown
ΔH_f (0 K) = -0.27 eV per atom
Total magnetic moment = 0.00 μB/cell
Symmetry = Pm (6)
Crystal system = monoclinic

(4)
The following is a DFT calculation (PBE) of crystalline YMo2 at its relaxed geometry.

Structure (CIF):
```
data_YMo2
_chemical_formula_sum 'Y1 Mo2'
_symmetry_space_group_name_H-M 'P 1'
_symmetry_Int_Tables_number 1
_cell_length_a 4.6289
_cell_length_b 4.6289
_cell_length_c 3.0964
_cell_angle_alpha 90.00
_cell_angle_beta 90.00
_cell_angle_gamma 120.00
loop_
_symmetry_equiv_pos_as_xyz
'x,y,z'
loop_
_atom_site_label
_atom_site_fract_x
_atom_site_fract_y
_atom_site_fract_z
Mo1 0.6667 0.3333 0.6228
Mo2 0.3333 0.6667 0.3772
Y1 0.0000 0.0000 0.0000
```

Summary:
Mass density = 8.115 g cm⁻³
E_tot = -27.0 eV for the cell shown
ΔH_f (0 K) = 0.38 eV per atom
Total magnetic moment = 0.00 μB/cell
Symmetry = P-3m1 (164)
Crystal system = trigonal

- What is the total magnetic moment in the second record?
  0.00 μB/cell

- What is the E_tot in the fourth record?
  -27.0 eV for the cell shown

- total magnetic moment of number 2 (Ba2CeBiO6)?
  0.00 μB/cell